{"formula": "Pa3B9C2", "functional": "PBE-GGA", "state": "relaxed", "total_energy_ev_per_atom": -7.477, "delta_e_f_ev_per_atom": 0.17, "vol_a3_per_cell": 150, "dos_ef_per_ev_atom": 0.59, "lattice": [[-1.619, 4.386, 5.284], [1.619, -4.386, 5.284], [1.619, 4.386, -5.284]], "species": ["Pa", "Pa", "Pa", "B", "B", "B", "B", "B", "B", "B", "B", "B", "C", "C"], "frac_coords": [[0.000, 0.000, 0.000], [0.328, 0.328, 0.000], [0.672, 0.672, 0.000], [0.049, 0.797, 0.252], [0.061, 0.364, 0.697], [0.332, 0.636, 0.697], [0.455, 0.203, 0.252], [0.500, 0.000, 0.500], [0.545, 0.797, 0.748], [0.668, 0.364, 0.303], [0.939, 0.636, 0.303], [0.951, 0.203, 0.748], [0.260, 0.500, 0.760], [0.740, 0.500, 0.240]]}


{"formula": "Pm2PBr2", "functional": "PBE-GGA", "state": "relaxed", "total_energy_ev_per_atom": -5.104, "vol_a3_per_cell": 293, "raw_formation_energy_ev_per_atom": -1.452, "dos_ef_per_ev_atom": 0.28, "lattice": [[1.978, -7.200, 0.000], [1.978, 7.200, 0.000], [0.000, 0.000, 10.288]], "species": ["Pm", "Pm", "Pm", "Pm", "P", "P", "Br", "Br", "Br", "Br"], "frac_coords": [[0.012, 0.988, 0.500], [0.224, 0.776, 0.712], [0.776, 0.224, 0.212], [0.988, 0.012, 0.000], [0.373, 0.627, 0.085], [0.627, 0.373, 0.585], [0.110, 0.890, 0.241], [0.344, 0.656, 0.438], [0.656, 0.344, 0.938], [0.890, 0.110, 0.741]]}


{"formula": "K3RuO6", "functional": "PBE-GGA", "state": "relaxed", "total_energy_ev_per_atom": -5.196, "vol_a3_per_cell": 178, "raw_formation_energy_ev_per_atom": -0.965, "dos_ef_per_ev_atom": 0.89, "lattice": [[0.000, 4.465, 4.465], [4.465, 0.000, 4.465], [4.465, 4.465, 0.000]], "species": ["K", "K", "K", "Ru", "O", "O", "O", "O", "O", "O"], "frac_coords": [[0.000, 0.000, 0.000], [0.250, 0.250, 0.250], [0.750, 0.750, 0.750], [0.500, 0.500, 0.500], [0.291, 0.291, 0.709], [0.291, 0.709, 0.291], [0.291, 0.709, 0.709], [0.709, 0.291, 0.291], [0.709, 0.291, 0.709], [0.709, 0.709, 0.291]]}


{"formula": "Nd5Tl3Sn", "functional": "PBE-GGA", "state": "relaxed", "total_energy_ev_per_atom": -4.302, "delta_e_f_ev_per_atom": -0.42, "vol_a3_per_cell": 554, "dos_ef_per_ev_atom": 1.24, "lattice": [[9.786, 0.000, 0.000], [-4.893, 8.475, 0.000], [0.000, 0.000, 6.686]], "species": ["Nd", "Nd", "Nd", "Nd", "Nd", "Nd", "Nd", "Nd", "Nd", "Nd", "Tl", "Tl", "Tl", "Tl", "Tl", "Tl", "Sn", "Sn"], "frac_coords": [[0.000, 0.276, 0.250], [0.000, 0.724, 0.750], [0.276, 0.000, 0.250], [0.276, 0.276, 0.750], [0.333, 0.667, 0.000], [0.333, 0.667, 0.500], [0.667, 0.333, 0.000], [0.667, 0.333, 0.500], [0.724, 0.000, 0.750], [0.724, 0.724, 0.250], [0.000, 0.382, 0.750], [0.000, 0.618, 0.250], [0.382, 0.000, 0.750], [0.382, 0.382, 0.250], [0.618, 0.000, 0.250], [0.618, 0.618, 0.750], [0.000, 0.000, 0.000], [0.000, 0.000, 0.500]]}


{"formula": "SiIrC3", "functional": "PBE-GGA", "state": "relaxed", "total_energy_ev_per_atom": -6.213, "vol_a3_per_cell": 52, "raw_formation_energy_ev_per_atom": 2.178, "dos_ef_per_ev_atom": 0.60, "lattice": [[3.725, 0.000, 0.000], [0.000, 3.725, 0.000], [0.000, 0.000, 3.725]], "species": ["Si", "Ir", "C", "C", "C"], "frac_coords": [[0.000, 0.000, 0.000], [0.500, 0.500, 0.500], [0.000, 0.000, 0.500], [0.000, 0.500, 0.000], [0.500, 0.000, 0.000]]}


{"formula": "CsB3Pd", "functional": "PBE-GGA", "state": "relaxed", "total_energy_ev_per_atom": -1.751, "delta_e_f_ev_per_atom": 3.46, "vol_a3_per_cell": 110, "dos_ef_per_ev_atom": 0.85, "lattice": [[4.791, 0.000, 0.000], [0.000, 4.791, 0.000], [0.000, 0.000, 4.791]], "species": ["Cs", "B", "B", "B", "Pd"], "frac_coords": [[0.000, 0.000, 0.000], [0.000, 0.000, 0.500], [0.000, 0.500, 0.000], [0.500, 0.000, 0.000], [0.500, 0.500, 0.500]]}


Number 3 is which compound? K3RuO6